This record from Alexandria via LeMat-Bulk describes a relaxed LaSi2MoOs crystal. The functional is GGA-PBE.

a = 4.195 Å, b = 4.195 Å, c = 6.034 Å
α = 110.34°, β = 110.34°, γ = 90.00°
Site moments in Bohr magnetons follow the coordinates.
Element x y z (fractional)
Os 0.750 0.250 0.500  0.09
Mo 0.250 0.750 0.500  0.51
Si 0.625 0.625 0.250  -0.01
Si 0.375 0.375 0.750  -0.01
La 0.000 0.000 0.000  0.03

- formation energy from raw total energies (kJ per mole of atoms) = -50
- V (Å³ per cell) = 92.5
- total magnetic moment (μB per atom) = 0.15